No. 1
VASP calculation (PBE) on an optimized crystal structure of Li2Dy2PuS6.

## Properties
**Space group**: C2/m (12)
**Energy relative to the elements, uncorrected**: -1.69 eV per atom

Structure (POSCAR):
```
Li2Dy2PuS6
1.0
6.831 -0.025 0.109
-3.398 5.925 0.109
-1.191 -2.047 6.077
Li Dy Pu S
2 2 1 6
Cartesian
5.137 0.960 0.109
-1.705 4.940 0.109
-0.571 2.911 3.147
2.813 0.943 3.147
-0.595 -1.023 3.039
1.714 2.946 4.683
-1.777 0.876 4.569
0.528 0.908 1.612
1.640 -1.112 4.569
4.019 2.978 1.726
0.602 4.966 1.726
```


No. 2
VASP calculation (PBE) on an optimized crystal structure of Pb2SeCl.

## Properties
**Offset from the most stable computed form**: 0.40 eV/f.u.
**Space group**: Cmmm (65)
**Energy relative to the elements, uncorrected**: -0.48 eV per atom

Structure (POSCAR):
```
Pb2SeCl
1.0
-1.365 -2.212 2.810
3.495 1.330 0.817
-3.494 6.893 3.727
Cl Pb Se
1 2 1
Cartesian
-1.555 4.729 4.609
-0.051 0.100 0.054
-1.696 3.347 1.809
0.191 1.282 2.746
```


No. 3
VASP calculation (PBE) on an optimized crystal structure of AgW2Au.

## Properties
**Offset from the most stable computed form**: 0.93 eV/f.u.
**Space group**: C2/m (12)
**DFT formation energy**: 0.52 eV/atom

Structure (POSCAR):
```
AgW2Au
1.0
5.164 -0.012 -0.002
4.344 2.792 -0.002
0.798 0.233 4.627
Au Ag W
1 1 2
Cartesian
2.577 0.753 1.156
7.730 2.260 3.467
9.482 2.772 0.010
5.180 1.514 2.298
```


No. 4
VASP calculation (PBE) on an optimized crystal structure of Li2FeTc.

## Properties
**Offset from the most stable computed form**: 0.25 eV/f.u.
**Space group**: Cm (8)
**DFT formation energy**: 0.26 eV/atom

Structure (POSCAR):
```
Li2FeTc
1.0
4.420 0.060 -0.027
3.693 2.430 -0.027
0.302 0.093 5.132
Fe Li Tc
1 2 1
Cartesian
2.137 0.656 1.462
8.378 2.571 4.995
6.320 1.939 3.904
4.205 1.290 2.335
```


No. 5
VASP calculation (PBE) on an optimized crystal structure of Si4Rh.

## Properties
**Space group**: I4/mmm (139)
**Energy relative to the elements, uncorrected**: 0.24 eV per atom

Structure (POSCAR):
```
Si4Rh
1.0
-1.629 1.629 7.221
1.629 -1.629 7.221
1.629 1.629 -7.221
Si Rh
4 1
Cartesian
0.000 1.629 3.610
1.629 0.000 3.610
0.000 0.000 8.535
0.000 0.000 5.907
0.000 0.000 0.000
```


No. 6
VASP calculation (PBE) on an optimized crystal structure of Mg3MnPb.

## Properties
**Offset from the most stable computed form**: 0.42 eV/f.u.
**Space group**: Pm-3m (221)
**DFT formation energy**: 0.79 eV/atom

Structure (POSCAR):
```
Mg3MnPb
1.0
5.412 0.000 0.000
0.000 5.412 0.000
0.000 0.000 5.412
Pb Mg Mn
1 3 1
Cartesian
0.000 0.000 0.000
0.000 2.706 0.000
0.000 0.000 2.706
2.706 0.000 0.000
2.706 2.706 2.706
```


No. 7
VASP calculation (PBE) on an optimized crystal structure of NaBi2Pb.

## Properties
**Space group**: P-1 (2)
**DFT formation energy**: -0.11 eV/atom

Structure (POSCAR):
```
NaBi2Pb
1.0
-3.154 -4.554 -0.975
2.557 0.399 -4.955
6.246 -2.632 5.667
Na Bi Pb
2 4 2
Cartesian
-0.153 -5.168 0.273
5.803 -1.618 -0.536
2.927 -4.086 1.448
2.723 -2.701 -1.711
5.861 -2.879 2.546
-0.210 -3.907 -2.810
5.807 -5.148 -0.307
-0.156 -1.638 0.043
```


No. 8
VASP calculation (PBE) on an optimized crystal structure of Pm2OsN.

## Properties
**Space group**: P4/mmm (123)
**Energy relative to the elements, uncorrected**: -0.12 eV per atom

Structure (POSCAR):
```
Pm2OsN
1.0
-2.394 -0.706 -2.086
-1.073 -2.316 2.016
-4.079 4.607 3.120
N Os Pm
1 1 2
Cartesian
-3.773 0.793 1.525
-1.733 -1.511 -0.035
-2.922 3.301 2.235
-1.157 1.307 0.885
```


Number 1: total moment 4.00 Bohr magnetons per cell. Number 2: total moment 0.00 Bohr magnetons per cell. Number 3: total moment 0.00 Bohr magnetons per cell. Number 4: total moment 1.71 Bohr magnetons per cell. Number 5: total moment 0.00 Bohr magnetons per cell. Number 6: total moment 4.21 Bohr magnetons per cell. Number 7: total moment 0.00 Bohr magnetons per cell. Number 8: total moment 0.00 Bohr magnetons per cell.